1.
BaUAg | PBE-GGA | optimized geometry

Structure (POSCAR):
```
BaUAg
1.0
7.5445 0.0000 0.0000
0.0000 7.5445 0.0000
0.0000 0.0000 7.5445
Ba U Ag
4 4 4
Direct
0.0000 0.0000 0.0000 Ba
0.0000 0.5000 0.5000 Ba
0.5000 0.0000 0.5000 Ba
0.5000 0.5000 0.0000 Ba
0.0000 0.0000 0.5000 U
0.0000 0.5000 0.0000 U
0.5000 0.0000 0.0000 U
0.5000 0.5000 0.5000 U
0.2500 0.2500 0.2500 Ag
0.2500 0.7500 0.7500 Ag
0.7500 0.2500 0.7500 Ag
0.7500 0.7500 0.2500 Ag
```

Calculated values
* size of the total moment: 4.57 μB per formula unit
* ΔE to the lowest computed polymorph: 0 meV/atom
* total energy: -4.3813 eV/atom

---

2.
GdInNi5 | PBE-GGA | optimized geometry

Structure (POSCAR):
```
GdInNi5
1.0
2.4318 1.4040 9.8589
-2.4318 1.4040 9.8589
0.0000 -2.8080 9.8589
Gd In Ni
2 2 10
Direct
0.0000 0.0000 0.0000 Gd
0.5000 0.5000 0.5000 Gd
0.1102 0.1102 0.1102 In
0.8898 0.8898 0.8898 In
0.0698 0.5673 0.5673 Ni
0.1978 0.1978 0.1978 Ni
0.3335 0.3335 0.3335 Ni
0.4327 0.4327 0.9302 Ni
0.4327 0.9302 0.4327 Ni
0.5673 0.0698 0.5673 Ni
0.5673 0.5673 0.0698 Ni
0.6665 0.6665 0.6665 Ni
0.8022 0.8022 0.8022 Ni
0.9302 0.4327 0.4327 Ni
```

Calculated values
* size of the total moment: 0.00 μB per formula unit
* total energy: -5.3668 eV/atom

---

3.
ScAlFeHg | PBE-GGA | optimized geometry

Structure (POSCAR):
```
ScAlFeHg
1.0
6.5317 0.0000 0.0000
0.0000 6.5317 0.0000
0.0000 0.0000 6.5317
Sc Al Fe Hg
4 4 4 4
Direct
0.0000 0.0000 0.0000 Sc
0.0000 0.5000 0.5000 Sc
0.5000 0.0000 0.5000 Sc
0.5000 0.5000 0.0000 Sc
0.2500 0.2500 0.2500 Al
0.2500 0.7500 0.7500 Al
0.7500 0.2500 0.7500 Al
0.7500 0.7500 0.2500 Al
0.0000 0.0000 0.5000 Fe
0.0000 0.5000 0.0000 Fe
0.5000 0.0000 0.0000 Fe
0.5000 0.5000 0.5000 Fe
0.2500 0.2500 0.7500 Hg
0.2500 0.7500 0.2500 Hg
0.7500 0.2500 0.2500 Hg
0.7500 0.7500 0.7500 Hg
```

Calculated values
* size of the total moment: 2.18 μB per formula unit
* ΔE to the lowest computed polymorph: 29 meV/atom
* total energy: -4.7184 eV/atom

---

4.
CdTeNO | PBE-GGA | optimized geometry

Structure (POSCAR):
```
CdTeNO
1.0
5.7950 0.0000 0.0000
0.0000 7.8579 0.0000
0.0000 0.0000 5.6727
Cd Te N O
4 4 4 4
Direct
0.0172 0.1192 0.0000 Cd
0.4828 0.1192 0.5000 Cd
0.5172 0.8808 0.0000 Cd
0.9828 0.8808 0.5000 Cd
0.0548 0.6207 0.0466 Te
0.4452 0.6207 0.5466 Te
0.5548 0.3793 0.0466 Te
0.9452 0.3793 0.5466 Te
0.2088 0.7400 0.7715 N
0.2912 0.7400 0.2715 N
0.7088 0.2600 0.7715 N
0.7912 0.2600 0.2715 N
0.1135 0.1434 0.6021 O
0.3865 0.1434 0.1021 O
0.6135 0.8566 0.6021 O
0.8865 0.8566 0.1021 O
```

Calculated values
* ΔE to the lowest computed polymorph: 2 meV/atom
* total energy: -4.3224 eV/atom

---

5.
PrNdPt4 | PBE-GGA | optimized geometry

Structure (POSCAR):
```
PrNdPt4
1.0
0.0000 3.9004 3.9004
3.9004 0.0000 3.9004
3.9004 3.9004 0.0000
Pr Nd Pt
1 1 4
Direct
0.0000 0.0000 0.0000 Pr
0.7500 0.7500 0.7500 Nd
0.3751 0.3751 0.3751 Pt
0.3751 0.3751 0.8748 Pt
0.3751 0.8748 0.3751 Pt
0.8748 0.3751 0.3751 Pt
```

Calculated values
* size of the total moment: 0.00 μB per formula unit
* total energy: -6.6627 eV/atom

---

6.
Si2HgCl2 | PBE-GGA | optimized geometry

Structure (POSCAR):
```
Si2HgCl2
1.0
5.3723 0.0000 0.0000
0.0000 11.4593 0.0000
0.0000 0.0000 3.9645
Si Hg Cl
4 2 4
Direct
0.0062 0.2266 0.0000 Si
0.4938 0.7266 0.0000 Si
0.5062 0.2734 0.0000 Si
0.9938 0.7734 0.0000 Si
0.0000 0.0000 0.5000 Hg
0.5000 0.5000 0.5000 Hg
0.0042 0.3417 0.5000 Cl
0.4958 0.8417 0.5000 Cl
0.5042 0.1583 0.5000 Cl
0.9958 0.6583 0.5000 Cl
```

Calculated values
* total energy: -2.9602 eV/atom

---

7.
LiCdCoW | PBE-GGA | optimized geometry

Structure (POSCAR):
```
LiCdCoW
1.0
6.0241 0.0000 0.0000
0.0000 6.0241 0.0000
0.0000 0.0000 6.0241
Li Cd Co W
4 4 4 4
Direct
0.0000 0.0000 0.0000 Li
0.0000 0.5000 0.5000 Li
0.5000 0.0000 0.5000 Li
0.5000 0.5000 0.0000 Li
0.2500 0.2500 0.7500 Cd
0.2500 0.7500 0.2500 Cd
0.7500 0.2500 0.2500 Cd
0.7500 0.7500 0.7500 Cd
0.0000 0.0000 0.5000 Co
0.0000 0.5000 0.0000 Co
0.5000 0.0000 0.0000 Co
0.5000 0.5000 0.5000 Co
0.2500 0.2500 0.2500 W
0.2500 0.7500 0.7500 W
0.7500 0.2500 0.7500 W
0.7500 0.7500 0.2500 W
```

Calculated values
* size of the total moment: 0.00 μB per formula unit
* ΔE to the lowest computed polymorph: 0 meV/atom
* total energy: -5.3989 eV/atom

---

8.
BaTmIr | PBE-GGA | optimized geometry

Structure (POSCAR):
```
BaTmIr
1.0
6.9506 0.0000 0.0000
0.0000 6.9506 0.0000
0.0000 0.0000 6.9506
Ba Tm Ir
4 4 4
Direct
0.0000 0.0000 0.0000 Ba
0.0000 0.5000 0.5000 Ba
0.5000 0.0000 0.5000 Ba
0.5000 0.5000 0.0000 Ba
0.2500 0.2500 0.2500 Tm
0.2500 0.7500 0.7500 Tm
0.7500 0.2500 0.7500 Tm
0.7500 0.7500 0.2500 Tm
0.2500 0.2500 0.7500 Ir
0.2500 0.7500 0.2500 Ir
0.7500 0.2500 0.2500 Ir
0.7500 0.7500 0.7500 Ir
```

Calculated values
* size of the total moment: 0.01 μB per formula unit
* ΔE to the lowest computed polymorph: 1034 meV/atom
* total energy: -4.2278 eV/atom

---

Look up the total energy of the second one.
-5.3668 eV/atom